No. 1
# LiNdY2 | Alexandria | PBE | relaxed
data_LiNdY2
_cell_length_a 3.680
_cell_length_b 3.680
_cell_length_c 8.823
_cell_angle_alpha 90.00
_cell_angle_beta 90.00
_cell_angle_gamma 90.00
_symmetry_space_group_name_H-M 'P 4/m m m'
_symmetry_Int_Tables_number 123
_symmetry_space_group_name_Hall '-P 4 2'
loop_
_atom_site_label
_atom_site_type_symbol
_atom_site_fract_x
_atom_site_fract_y
_atom_site_fract_z
Li1 Li 0.000 0.000 0.000
Nd1 Nd 0.000 0.000 0.500
Y1 Y 0.500 0.500 0.215
# ΔE to the lowest computed polymorph = 0 meV/atom



No. 2
This record from Alexandria describes an optimized crystal structure of Hf2CoCuPb. The functional is PBE.

The structure in CIF format:
```
data_Hf2CoCuPb
_cell_length_a 4.841
_cell_length_b 4.841
_cell_length_c 4.433
_cell_angle_alpha 90.00
_cell_angle_beta 90.00
_cell_angle_gamma 90.00
_symmetry_space_group_name_H-M 'P 4/m m m'
_symmetry_Int_Tables_number 123
_symmetry_space_group_name_Hall '-P 4 2'
loop_
_atom_site_label
_atom_site_type_symbol
_atom_site_fract_x
_atom_site_fract_y
_atom_site_fract_z
Hf1 Hf 0.000 0.500 0.000
Co1 Co 0.000 0.000 0.500
Cu1 Cu 0.000 0.000 0.000
Pb1 Pb 0.500 0.500 0.500
```



No. 3
# RbCeAu2 | Alexandria | PBE | relaxed
data_RbCeAu2
_cell_length_a 3.849
_cell_length_b 3.849
_cell_length_c 8.356
_cell_angle_alpha 90.00
_cell_angle_beta 90.00
_cell_angle_gamma 90.00
_symmetry_space_group_name_H-M 'P 4/m m m'
_symmetry_Int_Tables_number 123
_symmetry_space_group_name_Hall '-P 4 2'
loop_
_atom_site_label
_atom_site_type_symbol
_atom_site_fract_x
_atom_site_fract_y
_atom_site_fract_z
Rb1 Rb 0.000 0.000 0.000
Ce1 Ce 0.000 0.000 0.500
Au1 Au 0.500 0.500 0.318
# ΔE to the lowest computed polymorph = 0 meV/atom



No. 4
# NaGa3Au3 | Alexandria | PBE | relaxed
data_NaGa3Au3
_cell_length_a 8.0462
_cell_length_b 8.0462
_cell_length_c 15.5440
_cell_angle_alpha 90.00
_cell_angle_beta 90.00
_cell_angle_gamma 120.00
_symmetry_space_group_name_H-M 'R -3'
_symmetry_Int_Tables_number 148
_symmetry_space_group_name_Hall '-R 3'
loop_
_atom_site_label
_atom_site_type_symbol
_atom_site_fract_x
_atom_site_fract_y
_atom_site_fract_z
Na1 Na 0.0000 0.0000 0.1699
Ga1 Ga 0.0002 0.3334 0.0536
Au1 Au 0.0039 0.3058 0.5574
# ΔE to the lowest computed polymorph = 0 meV/atom



E_form? In order: 65, 520, -444, -242 meV/atom.